The following is a DFT calculation (PBE-GGA) of a relaxed Ac3SbBr2O6 crystal.

Summary:
energy relative to the elements, uncorrected	-206	kJ/mol of atoms
theoretical density	6.74	g/cm³

a = 7.186 Å, b = 7.186 Å, c = 5.984 Å
α = 96.94°, β = 96.94°, γ = 58.43°
Element x y z (fractional)
Ac1 0.000 0.000 0.000
Ac2 0.000 0.500 0.500
Ac3 0.500 0.000 0.500
Sb1 0.500 0.500 0.500
Br1 0.228 0.228 0.909
Br2 0.772 0.772 0.091
O1 0.214 0.673 0.692
O2 0.327 0.786 0.308
O3 0.349 0.349 0.343
O4 0.651 0.651 0.657
O5 0.673 0.214 0.692
O6 0.786 0.327 0.308

The following is a DFT calculation (PBE-GGA) of a relaxed LaSc2Cu crystal.

Summary:
energy above the lowest structure with this stoichiometry	0.213	eV per atom
formation energy from the elements	0.135	eV/atom
theoretical density	5.06	g/cm³

a = 4.458 Å, b = 4.458 Å, c = 4.829 Å
α = 90.00°, β = 90.00°, γ = 90.00°
Element x y z (fractional)
La1 0.000 0.000 0.000
Sc1 0.000 0.500 0.500
Sc2 0.500 0.000 0.500
Cu1 0.500 0.500 0.000